## P
The following is a PBE calculation of an optimized crystal structure of AlInTeI2, from Alexandria via LeMat-Bulk.

Volume, Å³/cell: 175.47
Size of the total moment, μB/cell: 0.00

Cell lengths 5.672, 5.672, 5.455 Å; angles 90.00, 90.00, 90.00 degrees
Atoms (fractional coordinates):
Al1 0.000 0.000 0.000
In1 0.500 0.500 0.500
Te1 0.000 0.000 0.500
I1 0.000 0.500 0.000
I2 0.500 0.000 0.000

---

## Q
The following is a PBE calculation of an optimized crystal structure of AlInTeI2, from Alexandria via LeMat-Bulk.

Volume, Å³/cell: 203.35
Size of the total moment, μB/cell: 0.00

Cell lengths 5.954, 5.954, 5.736 Å; angles 90.00, 90.00, 90.00 degrees
Atoms (fractional coordinates):
Al1 0.000 0.000 0.000
In1 0.500 0.500 0.500
Te1 0.500 0.500 0.000
I1 0.000 0.500 0.500
I2 0.500 0.000 0.500

---

P (0.331 eV/atom below the next structure)

---

## P
The following is a PBE calculation of an optimized crystal structure of AlIr2I2, from Alexandria via LeMat-Bulk.

Volume, Å³/cell: 116.31
Size of the total moment, μB/cell: 0.00

Cell lengths 9.033, 9.033, 9.033 Å; angles 156.58, 156.58, 33.36 degrees
Atoms (fractional coordinates):
Al1 0.000 0.000 0.000
Ir1 0.250 0.750 0.500
Ir2 0.750 0.250 0.500
I1 0.394 0.394 0.000
I2 0.606 0.606 0.000

---

## Q
The following is a PBE calculation of an optimized crystal structure of AlIr2I2, from Alexandria via LeMat-Bulk.

Volume, Å³/cell: 229.81
Size of the total moment, μB/cell: 0.00

Cell lengths 8.452, 8.452, 3.217 Å; angles 90.00, 90.00, 90.00 degrees
Atoms (fractional coordinates):
Al1 0.000 0.000 0.000
Al2 0.500 0.500 0.000
Ir1 0.106 0.394 0.500
Ir2 0.394 0.894 0.500
Ir3 0.606 0.106 0.500
Ir4 0.894 0.606 0.500
I1 0.220 0.720 0.000
I2 0.280 0.220 0.000
I3 0.720 0.780 0.000
I4 0.780 0.280 0.000

---

P (0.210 eV/atom below the next structure)

---

## P
The following is a PBE calculation of an optimized crystal structure of Al2IrI, from Alexandria via LeMat-Bulk.

Volume, Å³/cell: 225.43
Size of the total moment, μB/cell: 0.00

Cell lengths 7.908, 7.908, 7.908 Å; angles 137.22, 137.22, 62.10 degrees
Atoms (fractional coordinates):
Al1 0.015 0.625 0.890
Al2 0.375 0.265 0.390
Al3 0.735 0.125 0.110
Al4 0.875 0.985 0.610
Ir1 0.000 0.000 0.000
Ir2 0.750 0.250 0.500
I1 0.250 0.750 0.500
I2 0.500 0.500 0.000

---

## Q
The following is a PBE calculation of an optimized crystal structure of Al2IrI, from Alexandria via LeMat-Bulk.

Volume, Å³/cell: 74.23
Size of the total moment, μB/cell: 0.00

Cell lengths 4.717, 4.717, 4.717 Å; angles 60.00, 60.00, 60.00 degrees
Atoms (fractional coordinates):
Al1 0.250 0.250 0.250
Al2 0.750 0.750 0.750
Ir1 0.000 0.000 0.000
I1 0.500 0.500 0.500

---

P (0.545 eV/atom below the next structure)